[1]
Here is a geometry-optimized ZnOs2Pb structure from Alexandria. Energies are from GGA-PBE.

E: -6.211 eV per atom
space group: Cm
total magnetization: 0.00 μB per formula unit
Fermi-level density of states: 2.66 states/eV/cell

Cell: 4.3775 4.3775 6.5889 Å, 79.90 79.90 39.02°
Closest atoms and distances in Å follow each position.
Sites, in units of the cell vectors:
Os  0.0015  0.0015  0.0285  3 Os 2.43-2.55, 2 Zn 2.66
Os  0.2525  0.2525  0.1706  3 Os 2.43-2.55
Pb  0.5029  0.5029  0.4888  2 Pb 2.92, 3 Os 3.03-3.21, 3 Zn 3.09-3.17
Zn  0.7432  0.7432  0.8121  5 Os 2.66-2.79, 2 Zn 2.92



[2]
Here is a geometry-optimized Zn4OsPb structure from Alexandria. Energies are from GGA-PBE.

E: -3.012 eV per atom
space group: F-43m
total magnetization: 0.00 μB per formula unit
Fermi-level density of states: 2.81 states/eV/cell

Cell: 5.1333 5.1333 5.1333 Å, 60.00 60.00 60.00°
Closest atoms and distances in Å follow each position.
Sites, in units of the cell vectors:
Zn  0.8708  0.3764  0.3764  6 Zn 2.54-2.60
Zn  0.3764  0.3764  0.8708  6 Zn 2.54-2.60
Zn  0.3764  0.8708  0.3764  6 Zn 2.54-2.60
Zn  0.3764  0.3764  0.3764  6 Zn 2.54-2.60
Os  0.7500  0.7500  0.7500  12 Zn 3.01, 4 Pb 3.14
Pb  0.0000  0.0000  0.0000  12 Zn 3.01, 4 Os 3.14



[3]
Here is a geometry-optimized ZnOs2Pb structure from Alexandria. Energies are from GGA-PBE.

E: -5.986 eV per atom
space group: Pmmm
total magnetization: 0.01 μB per formula unit
Fermi-level density of states: 5.76 states/eV/cell

Cell: 2.9096 4.0158 5.9788 Å, 90.00 90.00 90.00°
Closest atoms and distances in Å follow each position.
Sites, in units of the cell vectors:
Os  0.0000  0.0000  0.9523  1 Os 2.42
Os  0.0000  0.0000  0.5477  1 Os 2.42
Pb  0.5000  0.5000  0.2500  2 Pb 2.91, 2 Zn 2.99, 8 Os 3.05
Zn  0.5000  0.5000  0.7500  8 Os 2.76, 2 Zn 2.91, 2 Pb 2.99